one | LiBeSeBr2 after structural relaxation. Source: the Alexandria database, functional GGA-PBE.

Cell lengths 4.840, 4.840, 4.944 Å; angles 90.00, 90.00, 90.00 degrees
Fractional positions:
Be: 0.500 0.500 0.500
Se: 0.000 0.000 0.500
Br: 0.000 0.500 0.000
Br: 0.500 0.000 0.000
Li: 0.000 0.000 0.000

Calculated values
* Fermi-level density of states: 5.431 states/eV per cell

two | LiBeSeBr2 after structural relaxation. Source: the Alexandria database, functional GGA-PBE.

Cell lengths 5.104, 5.104, 4.465 Å; angles 90.00, 90.00, 90.00 degrees
Fractional positions:
Be: 0.000 0.000 0.000
Se: 0.000 0.000 0.500
Br: 0.000 0.500 0.000
Br: 0.500 0.000 0.000
Li: 0.500 0.500 0.500

Calculated values
* Fermi-level density of states: 2.781 states/eV per cell

So which one wins? Going from most stable to least: two, one.

one | MgBeBr2 after structural relaxation. Source: the Alexandria database, functional GGA-PBE.

Cell lengths 10.191, 10.191, 10.191 Å; angles 19.44, 19.44, 19.44 degrees
Fractional positions:
Be: 0.500 0.500 0.500
Mg: 0.000 0.000 0.000
Br: 0.880 0.880 0.880
Br: 0.120 0.120 0.120

Calculated values
* Fermi-level density of states: 0.718 states/eV per cell

two | MgBeBr2 after structural relaxation. Source: the Alexandria database, functional GGA-PBE.

Cell lengths 11.562, 11.562, 11.562 Å; angles 18.81, 18.81, 18.81 degrees
Fractional positions:
Be: 0.000 0.000 0.000
Mg: 0.500 0.500 0.500
Br: 0.879 0.879 0.879
Br: 0.121 0.121 0.121

Calculated values
* Fermi-level density of states: 0.000 states/eV per cell

three | MgBeBr2 after structural relaxation. Source: the Alexandria database, functional GGA-PBE.

Cell lengths 3.933, 3.933, 9.249 Å; angles 90.00, 90.00, 128.03 degrees
Fractional positions:
Be: 0.500 0.500 0.759
Mg: 0.000 0.000 0.517
Br: 0.000 0.000 0.908
Br: 0.500 0.500 0.316

Calculated values
* Fermi-level density of states: 0.494 states/eV per cell

So which one wins? Going from most stable to least: three, one, two.